DFT (PBE+U) results for a relaxed KLaZnWO6 crystal.

Properties
Its space group is F-43m. Its density is 6.690 g/cm3. The value obtained for the density of states at the Fermi level is 0.00 states/eV/cell. As for the total magnetization: 0.00 μB per formula unit. The volume is 13.0 A^3/atom. As for the total DFT energy (no corrections): -6.647 eV per atom.

The structure in POSCAR format:
```
KLaZnWO6
1.0
-1.109 -1.032 5.479
-5.356 -0.845 1.706
-1.679 -5.179 1.634
K La Zn W O
1 1 1 1 6
Direct
0.750 0.750 0.750
0.250 0.250 0.250
0.000 0.000 0.000
0.500 0.500 0.500
0.259 0.741 0.259
0.741 0.259 0.741
0.259 0.741 0.741
0.741 0.259 0.259
0.259 0.259 0.741
0.741 0.741 0.259
```